No. 1
A plane-wave DFT calculation with GGA-PBE was carried out for an optimized crystal structure of LiAl4.

Calculated values
DFT formation energy   -0.053 eV per atom
Electronic total energy   -17.2 eV/cell

Geometry as CIF:
```
data_LiAl4
_chemical_formula_sum 'Li1 Al4'
_space_group_name_H-M_alt 'P 1'
_space_group_IT_number 1
_cell_length_a 4.9185
_cell_length_b 4.9185
_cell_length_c 6.9339
_cell_angle_alpha 115.70
_cell_angle_beta 115.70
_cell_angle_gamma 33.48
loop_
_space_group_symop_operation_xyz
'x,y,z'
loop_
_atom_site_label
_atom_site_fract_x
_atom_site_fract_y
_atom_site_fract_z
_atom_site_occupancy
Li1 0.0000 0.0000 0.0000 1
Al1 0.2008 0.2008 0.8006 1
Al2 0.4049 0.4049 0.6072 1
Al3 0.5951 0.5951 0.3928 1
Al4 0.7992 0.7992 0.1994 1
```



No. 2
A plane-wave DFT calculation with GGA-PBE was carried out for an optimized crystal structure of PmNdSi2.

Calculated values
Uncorrected formation energy   -0.4318 eV per atom
Electronic total energy   -22.1 eV/cell

Geometry as CIF:
```
data_PmNdSi2
_chemical_formula_sum 'Pm1 Nd1 Si2'
_space_group_name_H-M_alt 'P 1'
_space_group_IT_number 1
_cell_length_a 7.2600
_cell_length_b 7.2600
_cell_length_c 7.2600
_cell_angle_alpha 34.25
_cell_angle_beta 34.25
_cell_angle_gamma 34.25
loop_
_space_group_symop_operation_xyz
'x,y,z'
loop_
_atom_site_label
_atom_site_fract_x
_atom_site_fract_y
_atom_site_fract_z
_atom_site_occupancy
Pm1 0.0000 0.0000 0.0000 1
Nd1 0.5000 0.5000 0.5000 1
Si1 0.2509 0.2509 0.2509 1
Si2 0.7491 0.7491 0.7491 1
```



| no. | total magnetic moment (μB/f.u.) |
| --- | --- |
| 1 | 0.0 |
| 2 | 0.0 |